(1)
This record from the Alexandria database describes a relaxed structure of HfC. The functional is PBE-GGA.

Results
The crystal system is hexagonal. As for the magnetic moment: 0.0 μB per cell. The value obtained for the formation energy is -0.75 eV per atom.

Structure (CIF):
```
data_HfC
_symmetry_space_group_name_H-M 'P 63/m m c'
_symmetry_Int_Tables_number 194
_symmetry_space_group_name_Hall '-P 6c 2c'
_cell_length_a 3.3142
_cell_length_b 3.3142
_cell_length_c 5.2786
_cell_angle_alpha 90.00
_cell_angle_beta 90.00
_cell_angle_gamma 120.00
loop_
_atom_site_label
_atom_site_type_symbol
_atom_site_fract_x
_atom_site_fract_y
_atom_site_fract_z
Hf1 Hf 0.3333 0.6667 0.2500
C1 C 0.0000 0.0000 0.0000
```

***

(2)
This record from the Alexandria database describes a relaxed structure of ScTl2Cl. The functional is PBE-GGA.

Results
The uncorrected formation energy comes out at -640.9 meV/atom. The crystal system is tetragonal. As for the magnetic moment: 0.4 μB per cell.

Structure (CIF):
```
data_ScTl2Cl
_symmetry_space_group_name_H-M 'P 4 m m'
_symmetry_Int_Tables_number 99
_symmetry_space_group_name_Hall 'P 4 -2'
_cell_length_a 3.301
_cell_length_b 3.301
_cell_length_c 9.858
_cell_angle_alpha 90.00
_cell_angle_beta 90.00
_cell_angle_gamma 90.00
loop_
_atom_site_label
_atom_site_type_symbol
_atom_site_fract_x
_atom_site_fract_y
_atom_site_fract_z
Sc1 Sc 0.000 0.000 0.000
Tl1 Tl 0.000 0.000 0.488
Tl2 Tl 0.500 0.500 0.225
Cl1 Cl 0.500 0.500 0.856
```